Entry from the Alexandria database: a relaxed Nd2BeGe2Au4 crystal (PBE-GGA).

The structure in CIF format:
```
data_Nd2BeGe2Au4
_symmetry_space_group_name_H-M 'I 4/m m m'
_symmetry_Int_Tables_number 139
_symmetry_space_group_name_Hall '-I 4 2'
_cell_length_a 6.2678
_cell_length_b 6.2678
_cell_length_c 9.3881
_cell_angle_alpha 90.00
_cell_angle_beta 90.00
_cell_angle_gamma 90.00
loop_
_atom_site_label
_atom_site_fract_x
_atom_site_fract_y
_atom_site_fract_z
Nd1 0.0000 0.5000 0.2500
Be1 0.0000 0.0000 0.0000
Ge1 0.0000 0.0000 0.2988
Au1 0.2405 0.2405 0.5000
```

Calculated values
Calculated total energy = -4.46 eV/atom
Energy of formation from the pure elements = -441 kJ/mol of formula units

---

Entry from the Alexandria database: a relaxed BeGePb2Au6 crystal (PBE-GGA).

The structure in CIF format:
```
data_BeGePb2Au6
_symmetry_space_group_name_H-M 'P -1'
_symmetry_Int_Tables_number 2
_cell_length_a 6.5697
_cell_length_b 6.6258
_cell_length_c 6.7174
_cell_angle_alpha 61.15
_cell_angle_beta 60.97
_cell_angle_gamma 60.34
loop_
_symmetry_equiv_pos_as_xyz
'x,y,z'
'-x,-y,-z'
loop_
_atom_site_label
_atom_site_fract_x
_atom_site_fract_y
_atom_site_fract_z
Be1 0.0000 0.0000 0.0000
Ge1 0.5000 0.5000 0.5000
Pb1 0.1917 0.1899 0.4316
Au1 0.1356 0.6812 0.8400
Au2 0.3194 0.6604 0.1578
Au3 0.3422 0.1374 0.8388
```

Calculated values
Calculated total energy = -3.59 eV/atom
Energy of formation from the pure elements = -43 kJ/mol of formula units

---

Entry from the Alexandria database: a relaxed Pm2BeGe2Au4 crystal (PBE-GGA).

The structure in CIF format:
```
data_Pm2BeGe2Au4
_symmetry_space_group_name_H-M 'I 4/m m m'
_symmetry_Int_Tables_number 139
_symmetry_space_group_name_Hall '-I 4 2'
_cell_length_a 6.2423
_cell_length_b 6.2423
_cell_length_c 9.3373
_cell_angle_alpha 90.00
_cell_angle_beta 90.00
_cell_angle_gamma 90.00
loop_
_atom_site_label
_atom_site_fract_x
_atom_site_fract_y
_atom_site_fract_z
Pm1 0.0000 0.5000 0.2500
Be1 0.0000 0.0000 0.0000
Ge1 0.0000 0.0000 0.2957
Au1 0.2400 0.2400 0.5000
```

Calculated values
Calculated total energy = -4.46 eV/atom
Energy of formation from the pure elements = -444 kJ/mol of formula units

---

Entry from the Alexandria database: a relaxed Pm2BeGeAu6 crystal (PBE-GGA).

The structure in CIF format:
```
data_Pm2BeGeAu6
_symmetry_space_group_name_H-M 'P m m n'
_symmetry_Int_Tables_number 59
_cell_length_a 5.8445
_cell_length_b 8.8270
_cell_length_c 8.3195
_cell_angle_alpha 90.00
_cell_angle_beta 90.00
_cell_angle_gamma 90.00
loop_
_symmetry_equiv_pos_as_xyz
'x,y,z'
'-x,-y,-z'
'-x+1/2,-y+1/2,z'
'x+1/2,y+1/2,-z'
'x+1/2,-y,-z'
'-x+1/2,y,z'
'-x,y+1/2,-z'
'x,-y+1/2,z'
loop_
_atom_site_label
_atom_site_fract_x
_atom_site_fract_y
_atom_site_fract_z
Pm1 0.2500 0.0070 0.2341
Be1 0.2500 0.2500 0.7412
Ge1 0.2500 0.7500 0.7847
Au1 0.0034 0.7500 0.4819
Au2 0.0099 0.2500 0.9652
Au3 0.2500 0.5015 0.6282
```

Calculated values
Calculated total energy = -4.19 eV/atom
Energy of formation from the pure elements = -426 kJ/mol of formula units

---

Entry from the Alexandria database: a relaxed Pm2Be4Ge3Au crystal (PBE-GGA).

The structure in CIF format:
```
data_Pm2Be4Ge3Au
_symmetry_space_group_name_H-M 'P -4 m 2'
_symmetry_Int_Tables_number 115
_cell_length_a 4.0298
_cell_length_b 4.0298
_cell_length_c 9.9394
_cell_angle_alpha 90.00
_cell_angle_beta 90.00
_cell_angle_gamma 90.00
loop_
_symmetry_equiv_pos_as_xyz
'x,y,z'
'y,-x,-z'
'-x,-y,z'
'-y,x,-z'
'-x,y,z'
'-y,-x,-z'
'x,-y,z'
'y,x,-z'
loop_
_atom_site_label
_atom_site_fract_x
_atom_site_fract_y
_atom_site_fract_z
Pm1 0.0000 0.5000 0.2445
Be1 0.0000 0.0000 0.0000
Be2 0.0000 0.5000 0.6342
Be3 0.5000 0.5000 0.0000
Ge1 0.0000 0.5000 0.8688
Ge2 0.5000 0.5000 0.5000
Au1 0.0000 0.0000 0.5000
```

Calculated values
Calculated total energy = -4.61 eV/atom
Energy of formation from the pure elements = -436 kJ/mol of formula units

---

Entry from the Alexandria database: a relaxed Pr2Be3Ge4Au crystal (PBE-GGA).

The structure in CIF format:
```
data_Pr2Be3Ge4Au
_symmetry_space_group_name_H-M 'P -4 m 2'
_symmetry_Int_Tables_number 115
_cell_length_a 4.2193
_cell_length_b 4.2193
_cell_length_c 9.9848
_cell_angle_alpha 90.00
_cell_angle_beta 90.00
_cell_angle_gamma 90.00
loop_
_symmetry_equiv_pos_as_xyz
'x,y,z'
'y,-x,-z'
'-x,-y,z'
'-y,x,-z'
'-x,y,z'
'-y,-x,-z'
'x,-y,z'
'y,x,-z'
loop_
_atom_site_label
_atom_site_fract_x
_atom_site_fract_y
_atom_site_fract_z
Pr1 0.0000 0.5000 0.2424
Be1 0.0000 0.5000 0.8794
Be2 0.5000 0.5000 0.5000
Ge1 0.0000 0.0000 0.0000
Ge2 0.0000 0.5000 0.6490
Ge3 0.5000 0.5000 0.0000
Au1 0.0000 0.0000 0.5000
```

Calculated values
Calculated total energy = -4.65 eV/atom
Energy of formation from the pure elements = -385 kJ/mol of formula units